[1]
The following is a DFT calculation (PBE) of crystalline GaCuGe at its relaxed geometry.

extended XYZ file:
```
6
Lattice="-1.104 -0.347 -3.809 3.483 -3.210 -0.833 -2.009 -5.994 -1.525" Properties=species:S:1:pos:R:3 pbc="T T T"
Ge -1.275 -6.545 -3.085
Ge 1.154 -4.876 -1.270
Ga 1.436 -7.250 -3.247
Ga 0.944 -2.726 -3.453
Cu 2.250 -4.765 -3.750
Cu -0.223 -2.884 -1.001
```

Results
- electronic total energy (eV/cell) = -23.013
- density of states at the Fermi level (states/eV per cell) = 1.6
- magnetization (μB/cell) = 0.000

=====

[2]
The following is a DFT calculation (PBE) of crystalline Hf5Ni2Ir2 at its relaxed geometry.

extended XYZ file:
```
18
Lattice="6.571 0.000 0.000 0.000 5.791 -2.977 0.000 0.594 8.277" Properties=species:S:1:pos:R:3 pbc="T T T"
Hf 0.000 0.000 0.000
Hf 3.286 2.896 -1.489
Hf 5.371 4.903 -0.157
Hf 1.200 2.810 0.919
Hf 2.086 5.705 -0.570
Hf 4.485 2.008 1.331
Hf 1.200 1.482 5.457
Hf 5.371 3.575 4.381
Hf 4.485 0.680 5.869
Hf 2.086 4.378 3.968
Ni 4.122 5.053 -2.598
Ni 2.449 0.738 -0.379
Ni 0.836 3.634 -1.868
Ni 5.735 2.158 -1.109
Ir 0.000 1.526 2.969
Ir 3.286 4.422 1.481
Ir 0.000 4.859 2.330
Ir 3.286 1.963 3.819
```

Results
- electronic total energy (eV/cell) = -169.132
- density of states at the Fermi level (states/eV per cell) = 11.1
- magnetization (μB/cell) = 0.000

=====

[3]
The following is a DFT calculation (PBE) of crystalline Ac5Dy2Sn5 at its relaxed geometry.

extended XYZ file:
```
12
Lattice="4.706 0.000 0.000 -2.353 7.806 -0.240 0.000 -4.110 12.721" Properties=species:S:1:pos:R:3 pbc="T T T"
Ac 2.353 -2.055 6.360
Ac 2.353 2.335 0.485
Ac 2.353 2.255 4.339
Ac 0.000 1.441 8.141
Ac 0.000 1.360 11.996
Dy 0.000 -2.509 10.060
Dy 2.353 6.205 2.421
Sn 0.000 0.031 5.193
Sn 2.353 -0.444 9.976
Sn 0.000 4.140 2.505
Sn 2.353 3.664 7.288
Sn 0.000 0.000 0.000
```

Results
- electronic total energy (eV/cell) = -56.195
- density of states at the Fermi level (states/eV per cell) = 6.8
- magnetization (μB/cell) = 0.439

=====

[4]
The following is a DFT calculation (PBE) of crystalline TbTeS at its relaxed geometry.

extended XYZ file:
```
3
Lattice="3.488 0.000 0.000 0.000 3.488 0.000 -1.744 -1.744 7.173" Properties=species:S:1:pos:R:3 pbc="T T T"
S 0.000 0.000 3.988
Te 0.000 0.000 0.376
Tb 1.744 1.744 2.809
```

Results
- electronic total energy (eV/cell) = -15.674
- ΔE to the lowest computed polymorph (meV per atom) = 260
- density of states at the Fermi level (states/eV per cell) = 1.1
- magnetization (μB/cell) = 0.000
- formation energy (no corrections) (eV/atom) = -1.258

=====

[5]
The following is a DFT calculation (PBE) of crystalline PmZrP at its relaxed geometry.

extended XYZ file:
```
3
Lattice="4.142 0.000 0.000 0.000 4.465 0.000 0.000 -2.233 3.867" Properties=species:S:1:pos:R:3 pbc="T T T"
P 0.694 0.000 0.000
Zr 0.689 0.000 2.578
Pm 2.759 2.233 1.289
```

Results
- electronic total energy (eV/cell) = -20.278
- ΔE to the lowest computed polymorph (meV per atom) = 387
- density of states at the Fermi level (states/eV per cell) = 4.4
- magnetization (μB/cell) = 0.728

=====

[6]
The following is a DFT calculation (PBE) of crystalline RbVNiS3 at its relaxed geometry.

extended XYZ file:
```
12
Lattice="3.511 0.000 0.000 -1.755 7.578 0.000 0.000 0.000 9.183" Properties=species:S:1:pos:R:3 pbc="T T T"
Rb 1.755 3.777 6.887
Rb 0.000 3.801 2.296
V 0.000 0.000 4.592
V 0.000 0.000 0.000
Ni 0.000 7.200 6.887
Ni 1.755 0.378 2.296
S 1.755 1.607 4.111
S 0.000 5.972 5.073
S 0.000 5.972 8.702
S 1.755 1.607 0.481
S 0.000 0.966 6.887
S 1.755 6.612 2.296
```

Results
- electronic total energy (eV/cell) = -66.720
- density of states at the Fermi level (states/eV per cell) = 6.5
- magnetization (μB/cell) = 0.867
- formation energy (no corrections) (eV/atom) = -0.852

=====

[7]
The following is a DFT calculation (PBE) of crystalline CrTcTe at its relaxed geometry.

extended XYZ file:
```
6
Lattice="-2.726 -0.575 1.330 1.184 -3.953 0.718 4.943 2.918 7.833" Properties=species:S:1:pos:R:3 pbc="T T T"
Cr -0.141 -0.793 2.189
Cr -1.053 -3.159 2.878
Te 3.290 -1.410 5.368
Te 2.628 1.247 8.769
Tc 1.005 -2.369 3.854
Tc 2.013 0.067 3.391
```

Results
- electronic total energy (eV/cell) = -45.818
- ΔE to the lowest computed polymorph (meV per atom) = 85
- density of states at the Fermi level (states/eV per cell) = 4.5
- magnetization (μB/cell) = 0.436
- formation energy (no corrections) (eV/atom) = 0.074

=====

[8]
The following is a DFT calculation (PBE) of crystalline TlSbHI2 at its relaxed geometry.

extended XYZ file:
```
5
Lattice="-1.179 -1.294 6.005 -3.179 -5.104 -1.724 4.945 -3.177 0.287" Properties=species:S:1:pos:R:3 pbc="T T T"
I -1.589 -2.552 -0.862
I -0.590 -0.647 3.002
Sb 2.473 -1.588 0.143
Tl 0.000 0.000 0.000
H 0.294 -4.787 2.284
```

Results
- electronic total energy (eV/cell) = -9.406
- ΔE to the lowest computed polymorph (meV per atom) = 647
- density of states at the Fermi level (states/eV per cell) = 3.6
- magnetization (μB/cell) = 2.513

=====

[9]
The following is a DFT calculation (PBE) of crystalline Zr2InGa at its relaxed geometry.

extended XYZ file:
```
4
Lattice="-1.796 1.364 2.269 -2.817 -1.287 0.799 2.876 -5.428 7.797" Properties=species:S:1:pos:R:3 pbc="T T T"
Ga 0.000 0.000 0.000
Zr -0.491 -1.267 2.629
Zr -1.246 -4.083 8.236
In -0.868 -2.675 5.432
```

Results
- electronic total energy (eV/cell) = -23.773
- ΔE to the lowest computed polymorph (meV per atom) = 208
- density of states at the Fermi level (states/eV per cell) = 4.2
- magnetization (μB/cell) = 0.000

=====

[10]
The following is a DFT calculation (PBE) of crystalline Sr12H3N5 at its relaxed geometry.

extended XYZ file:
```
80
Lattice="14.290 0.000 0.000 -4.763 13.472 0.000 -4.763 -6.736 11.667" Properties=species:S:1:pos:R:3 pbc="T T T"
H 8.336 4.210 1.458
H 8.336 9.262 1.458
H -1.191 5.894 7.292
H 1.191 -0.842 4.375
H 10.717 0.000 2.917
H 1.191 6.736 2.917
H 3.572 0.000 8.751
H -5.954 6.736 8.751
H 3.572 7.578 7.292
H 5.954 0.842 4.375
H -3.572 -2.526 10.209
H -3.572 2.526 10.209
N -1.191 3.368 2.917
N -2.382 6.736 0.000
N 0.000 0.000 0.000
N 3.572 2.526 1.458
N 4.763 -3.368 5.834
N 4.763 6.736 0.000
N -3.572 7.578 4.375
N 5.954 -4.210 10.209
N 5.954 5.894 4.375
N 1.191 -3.368 8.751
N 3.572 10.104 2.917
N 2.382 3.368 5.834
N 7.145 0.000 0.000
N -2.382 -3.368 5.834
N -1.191 0.842 7.292
N -1.191 10.946 1.458
N -4.763 3.368 5.834
N 8.336 -0.842 7.292
N 1.191 4.210 10.209
N 5.954 3.368 8.751
Sr 9.315 1.520 0.222
Sr 0.212 4.320 4.629
Sr 10.785 3.061 3.512
Sr 5.886 1.857 1.427
Sr 1.672 4.837 7.933
Sr 10.287 6.915 2.099
Sr -1.258 7.940 4.939
Sr -3.505 11.616 1.427
Sr 0.709 8.636 7.933
Sr 6.384 6.557 2.099
Sr 7.356 3.935 4.407
Sr 7.356 11.953 0.222
Sr -4.054 5.920 6.056
Sr 3.142 4.828 0.894
Sr -4.975 9.537 4.407
Sr 2.593 -2.416 7.039
Sr -0.709 1.084 2.321
Sr 3.142 8.465 1.205
Sr 5.886 10.412 3.512
Sr -0.761 5.008 1.205
Sr -3.091 7.820 9.346
Sr 3.640 5.532 4.939
Sr 6.435 7.552 6.056
Sr 5.524 -1.908 10.773
Sr 1.123 1.204 6.728
Sr -1.672 -0.816 5.612
Sr -0.761 8.644 0.894
Sr -1.123 -3.676 8.155
Sr 7.854 -1.084 2.321
Sr 5.524 1.728 10.462
Sr 1.621 -1.728 10.462
Sr 2.170 9.152 4.629
Sr 5.473 5.652 9.346
Sr 9.738 -2.801 7.261
Sr 8.817 0.816 5.612
Sr -2.593 -5.217 11.445
Sr 1.621 1.908 10.773
Sr 4.054 -1.900 3.734
Sr -1.621 0.179 9.568
Sr -2.593 2.801 7.261
Sr 8.268 -4.879 10.240
Sr 6.021 -1.204 6.728
Sr -1.123 4.879 10.240
Sr -5.524 -0.179 9.568
Sr 3.091 1.900 3.734
Sr -6.021 3.676 8.155
Sr 4.552 2.416 7.039
Sr -4.552 5.217 11.445
```

Results
- electronic total energy (eV/cell) = -306.358
- density of states at the Fermi level (states/eV per cell) = 37.4
- magnetization (μB/cell) = 8.846

=====

[11]
The following is a DFT calculation (PBE) of crystalline K2TmHf2Te6 at its relaxed geometry.

extended XYZ file:
```
11
Lattice="7.244 -0.038 0.078 -3.614 6.279 0.078 -1.270 -2.183 8.492" Properties=species:S:1:pos:R:3 pbc="T T T"
K 5.486 0.985 0.078
K -1.855 5.256 0.078
Tm -0.635 -1.091 4.246
Hf -0.643 3.090 4.324
Hf 3.004 0.968 4.324
Te 1.709 2.938 6.063
Te -1.886 1.043 5.996
Te 0.652 1.120 2.585
Te 1.839 -1.124 5.996
Te 4.247 3.015 2.652
Te 0.522 5.183 2.652
```

Results
- electronic total energy (eV/cell) = -56.982
- density of states at the Fermi level (states/eV per cell) = 4.5
- magnetization (μB/cell) = 0.000
- formation energy (no corrections) (eV/atom) = -1.051

=====

[12]
The following is a DFT calculation (PBE) of crystalline TbGa3Ni at its relaxed geometry.

extended XYZ file:
```
5
Lattice="4.193 0.000 0.000 0.000 4.193 0.000 2.097 2.097 5.080" Properties=species:S:1:pos:R:3 pbc="T T T"
Tb 4.193 4.193 0.113
Ga 4.193 2.097 2.659
Ga 2.097 4.193 2.659
Ga 2.097 2.097 0.974
Ni 4.193 4.193 3.757
```

Results
- electronic total energy (eV/cell) = -22.425
- ΔE to the lowest computed polymorph (meV per atom) = 0
- density of states at the Fermi level (states/eV per cell) = 2.5
- magnetization (μB/cell) = 0.000

=====

[13]
The following is a DFT calculation (PBE) of crystalline ZnGa2Hg4 at its relaxed geometry.

extended XYZ file:
```
7
Lattice="5.415 0.000 0.000 0.000 5.415 0.000 2.707 2.707 6.732" Properties=species:S:1:pos:R:3 pbc="T T T"
Zn 0.000 0.000 0.000
Hg 5.415 5.415 2.684
Hg 2.707 2.707 4.048
Hg 0.000 2.707 0.000
Hg 2.707 0.000 0.000
Ga 2.707 2.707 1.345
Ga 5.415 5.415 5.388
```

Results
- electronic total energy (eV/cell) = -7.330
- density of states at the Fermi level (states/eV per cell) = 3.6
- magnetization (μB/cell) = 0.000

=====

[14]
The following is a DFT calculation (PBE) of crystalline Sb2TeHIr at its relaxed geometry.

extended XYZ file:
```
5
Lattice="-5.024 -0.024 -0.834 0.662 -3.213 -3.896 -0.562 -4.380 3.516" Properties=species:S:1:pos:R:3 pbc="T T T"
Sb 0.331 -1.606 -1.948
Sb -2.512 -0.012 -0.417
Ir 0.000 0.000 0.000
Te -0.281 -2.190 1.758
H -2.462 -3.808 -0.607
```

Results
- electronic total energy (eV/cell) = -19.006
- ΔE to the lowest computed polymorph (meV per atom) = 169
- density of states at the Fermi level (states/eV per cell) = 5.0
- magnetization (μB/cell) = 1.185

=====

[15]
The following is a DFT calculation (PBE) of crystalline Sm2TlGe3Pt4 at its relaxed geometry.

extended XYZ file:
```
10
Lattice="-2.919 -1.665 2.680 2.905 -2.843 1.398 3.134 7.029 7.780" Properties=species:S:1:pos:R:3 pbc="T T T"
Sm -0.712 0.844 3.196
Sm 3.839 3.932 6.624
Tl 1.560 1.261 5.929
Ge 1.567 3.515 3.890
Ge 1.289 5.332 8.163
Ge 1.838 -0.556 1.656
Pt -0.007 -2.254 2.039
Pt 0.000 0.000 0.000
Pt 0.600 3.788 6.454
Pt 2.527 0.988 3.365
```

Results
- electronic total energy (eV/cell) = -57.583
- density of states at the Fermi level (states/eV per cell) = 5.2
- magnetization (μB/cell) = 0.000

=====

[16]
The following is a DFT calculation (PBE) of crystalline Si2AgAs at its relaxed geometry.

extended XYZ file:
```
4
Lattice="-0.191 -1.233 -2.543 -2.158 -0.966 1.560 -5.091 6.725 -2.877" Properties=species:S:1:pos:R:3 pbc="T T T"
Ag -2.455 3.243 -1.388
As -5.051 4.021 -2.683
Si -0.108 0.143 -0.061
Si -2.371 0.481 -1.168
```

Results
- electronic total energy (eV/cell) = -16.605
- density of states at the Fermi level (states/eV per cell) = 1.4
- magnetization (μB/cell) = 0.000
- formation energy (no corrections) (eV/atom) = 0.435

=====

[17]
The following is a DFT calculation (PBE) of crystalline Zr3AgP at its relaxed geometry.

extended XYZ file:
```
5
Lattice="-3.295 -3.458 0.949 1.782 -2.698 -3.641 3.111 -2.117 3.091" Properties=species:S:1:pos:R:3 pbc="T T T"
P 0.000 0.000 0.000
Zr 0.891 -1.349 -1.821
Zr 1.555 -1.058 1.545
Zr -1.647 -1.729 0.474
Ag 0.799 -4.136 0.199
```

Results
- electronic total energy (eV/cell) = -35.072
- ΔE to the lowest computed polymorph (meV per atom) = 0
- density of states at the Fermi level (states/eV per cell) = 2.9
- magnetization (μB/cell) = 0.000

=====

[18]
The following is a DFT calculation (PBE) of crystalline V3MoW4 at its relaxed geometry.

extended XYZ file:
```
8
Lattice="3.110 0.000 0.000 0.000 3.110 0.000 0.000 0.000 12.425" Properties=species:S:1:pos:R:3 pbc="T T T"
Mo 1.555 1.555 0.000
W 0.000 0.000 10.822
W 0.000 0.000 1.603
W 0.000 0.000 4.674
W 0.000 0.000 7.751
V 1.555 1.555 3.144
V 1.555 1.555 6.213
V 1.555 1.555 9.281
```

Results
- electronic total energy (eV/cell) = -90.666
- ΔE to the lowest computed polymorph (meV per atom) = 0
- density of states at the Fermi level (states/eV per cell) = 4.4
- magnetization (μB/cell) = 0.000

=====

[19]
The following is a DFT calculation (PBE) of crystalline Sr2NiAgSn at its relaxed geometry.

extended XYZ file:
```
5
Lattice="5.764 0.000 0.000 0.000 5.764 0.000 0.000 0.000 4.754" Properties=species:S:1:pos:R:3 pbc="T T T"
Sr 0.000 2.882 0.000
Sr 2.882 0.000 0.000
Sn 0.000 0.000 2.377
Ag 2.882 2.882 2.377
Ni 0.000 0.000 0.000
```

Results
- electronic total energy (eV/cell) = -17.032
- density of states at the Fermi level (states/eV per cell) = 3.7
- magnetization (μB/cell) = 0.000

=====

[20]
The following is a DFT calculation (PBE) of crystalline KUInF6 at its relaxed geometry.

extended XYZ file:
```
18
Lattice="6.759 0.000 0.000 -3.379 5.853 0.000 0.000 0.000 9.777" Properties=species:S:1:pos:R:3 pbc="T T T"
K 0.000 3.902 2.444
K 3.379 1.951 7.333
U 3.379 1.951 2.444
U 0.000 3.902 7.333
In 0.000 0.000 0.000
In 0.000 0.000 4.888
F 2.438 3.554 1.283
F 5.238 1.965 1.283
F -0.917 5.519 6.171
F -1.859 3.888 8.494
F 1.520 1.965 3.605
F 4.321 3.554 3.605
F 0.917 5.519 8.494
F 4.297 0.334 3.605
F -0.942 2.299 6.171
F 2.462 0.334 1.283
F 1.859 3.888 6.171
F 0.942 2.299 8.494
```

Results
- electronic total energy (eV/cell) = -107.004
- density of states at the Fermi level (states/eV per cell) = 15.3
- magnetization (μB/cell) = 4.000
- formation energy (no corrections) (eV/atom) = -3.017